(1)
Entry from Alexandria via LeMat-Bulk: a relaxed structure of Ba3ReAu (PBE).

a b c (Å): 5.8970 5.8970 5.8970
angles (deg): 90.00 90.00 90.00
Closest atoms and distances in Å follow each position.
Sites, in units of the cell vectors:
Ba 0.0000 0.5000 0.0000  2 Re 2.95
Ba 0.5000 0.0000 0.0000  2 Re 2.95
Ba 0.0000 0.0000 0.5000  2 Re 2.95
Re 0.0000 0.0000 0.0000  6 Ba 2.95
Au 0.5000 0.5000 0.5000  12 Ba 4.17

**Energy of formation**: 0.53 eV/atom
**Excess energy over the best structure of this formula in the dataset**: 0 meV per atom

=====

(2)
Entry from Alexandria via LeMat-Bulk: a relaxed structure of Ba2ReAu (PBE).

a b c (Å): 5.6015 5.6015 5.6015
angles (deg): 60.00 60.00 60.00
Closest atoms and distances in Å follow each position.
Sites, in units of the cell vectors:
Au 0.5000 0.5000 0.5000  8 Ba 3.43
Ba 0.2500 0.2500 0.2500  4 Re 3.43, 4 Au 3.43
Ba 0.7500 0.7500 0.7500  4 Re 3.43, 4 Au 3.43
Re 0.0000 0.0000 0.0000  8 Ba 3.43

**Energy of formation**: 0.67 eV/atom
**Excess energy over the best structure of this formula in the dataset**: 263 meV per atom

=====

(3)
Entry from Alexandria via LeMat-Bulk: a relaxed structure of BaReAu3 (PBE).

a b c (Å): 6.0537 6.0537 6.0537
angles (deg): 90.00 90.00 90.00
Closest atoms and distances in Å follow each position.
Sites, in units of the cell vectors:
Re 0.5000 0.5000 0.5000  12 Au 4.28
Au 0.0000 0.5000 0.0000  2 Ba 3.03
Au 0.5000 0.0000 0.0000  2 Ba 3.03
Au 0.0000 0.0000 0.5000  2 Ba 3.03
Ba 0.0000 0.0000 0.0000  6 Au 3.03

**Energy of formation**: 1.74 eV/atom
**Excess energy over the best structure of this formula in the dataset**: 1507 meV per atom

=====

(4)
Entry from Alexandria via LeMat-Bulk: a relaxed structure of BaReAu2S (PBE).

a b c (Å): 6.0414 5.6486 6.0414
angles (deg): 90.00 90.00 90.00
Closest atoms and distances in Å follow each position.
Sites, in units of the cell vectors:
Re 0.5000 0.5000 0.5000  8 Au 4.14, 4 S 4.27
Au 0.5000 0.0000 0.0000  2 Ba 3.02
Au 0.0000 0.0000 0.5000  2 Ba 3.02
S 0.0000 0.5000 0.0000  2 Ba 2.82
Ba 0.0000 0.0000 0.0000  2 S 2.82, 4 Au 3.02

**ΔE_f (raw)**: 1.65 eV per atom

=====

(5)
Entry from Alexandria via LeMat-Bulk: a relaxed structure of BaReSiAu2 (PBE).

a b c (Å): 4.7742 6.1806 4.7742
angles (deg): 90.00 90.00 90.00
Closest atoms and distances in Å follow each position.
Sites, in units of the cell vectors:
Re 0.5000 0.5000 0.5000  4 Ba 3.38
Au 0.5000 0.0000 0.0000  2 Si 2.39
Au 0.0000 0.0000 0.5000  2 Si 2.39
Ba 0.0000 0.5000 0.0000  2 Si 3.09, 4 Re 3.38
Si 0.0000 0.0000 0.0000  4 Au 2.39

**ΔE_f (raw)**: 1.06 eV per atom

=====

(6)
Entry from Alexandria via LeMat-Bulk: a relaxed structure of Ba8Rh2Au (PBE).

a b c (Å): 7.5349 9.5169 9.5169
angles (deg): 50.71 106.08 106.08
Closest atoms and distances in Å follow each position.
Sites, in units of the cell vectors:
Ba 0.1482 0.1089 0.6247  2 Rh 3.13-3.34, 1 Au 3.46
Ba 0.8518 0.8911 0.3753  2 Rh 3.13-3.34, 1 Au 3.46
Ba 0.6202 0.8225 0.8225  1 Rh 3.14, 1 Au 3.49
Ba 0.1482 0.6247 0.1089  2 Rh 3.13-3.34, 1 Au 3.46
Ba 0.3798 0.1775 0.1775  1 Rh 3.14, 1 Au 3.49
Ba 0.2830 0.5818 0.5818  1 Rh 2.88
Ba 0.8518 0.3753 0.8911  2 Rh 3.13-3.34, 1 Au 3.46
Ba 0.7170 0.4182 0.4182  1 Rh 2.88
Au 0.0000 0.0000 0.0000  6 Ba 3.46-3.49
Rh 0.1892 0.7321 0.7321  4 Ba 2.88-3.14
Rh 0.8108 0.2679 0.2679  4 Ba 2.88-3.14

**Energy of formation**: -0.19 eV/atom
**Excess energy over the best structure of this formula in the dataset**: 72 meV per atom

=====

(7)
Entry from Alexandria via LeMat-Bulk: a relaxed structure of BaRh4Au (PBE).

a b c (Å): 5.4285 5.4285 5.4285
angles (deg): 60.00 60.00 60.00
Closest atoms and distances in Å follow each position.
Sites, in units of the cell vectors:
Rh 0.3760 0.3760 0.8719  6 Rh 2.69-2.74
Rh 0.3760 0.8719 0.3760  6 Rh 2.69-2.74
Rh 0.3760 0.3760 0.3760  6 Rh 2.69-2.74
Rh 0.8719 0.3760 0.3760  6 Rh 2.69-2.74
Ba 0.0000 0.0000 0.0000  12 Rh 3.19, 4 Au 3.32
Au 0.7500 0.7500 0.7500  12 Rh 3.18, 4 Ba 3.32

**Energy of formation**: 0.23 eV/atom

=====

(8)
Entry from Alexandria via LeMat-Bulk: a relaxed structure of Ba8RhAu3 (PBE).

a b c (Å): 8.1601 8.1601 9.3874
angles (deg): 90.00 90.00 110.94
Closest atoms and distances in Å follow each position.
Sites, in units of the cell vectors:
Ba 0.7400 0.7308 0.2642  1 Rh 3.11, 2 Au 3.30-3.31
Ba 0.2560 0.7440 0.0000  3 Au 3.28-3.29
Ba 0.7297 0.2703 0.5000  1 Rh 3.09, 2 Au 3.32
Ba 0.7308 0.7400 0.7358  1 Rh 3.11, 2 Au 3.30-3.31
Ba 0.2692 0.2600 0.7358  1 Rh 3.11, 2 Au 3.30-3.31
Ba 0.2600 0.2692 0.2642  1 Rh 3.11, 2 Au 3.30-3.31
Ba 0.2703 0.7297 0.5000  1 Rh 3.09, 2 Au 3.32
Ba 0.7440 0.2560 0.0000  3 Au 3.28-3.29
Rh 0.5000 0.5000 0.5000  6 Ba 3.09-3.11
Au 0.5000 0.0000 0.7514  6 Ba 3.29-3.32
Au 0.5000 0.5000 0.0000  6 Ba 3.28-3.30
Au 0.0000 0.5000 0.2486  6 Ba 3.29-3.32

**Energy of formation**: -0.45 eV/atom

=====

(9)
Entry from Alexandria via LeMat-Bulk: a relaxed structure of Ba11Rh2Au (PBE).

a b c (Å): 13.5316 12.7232 12.7232
angles (deg): 70.04 57.87 57.87
Closest atoms and distances in Å follow each position.
Sites, in units of the cell vectors:
Ba 0.0736 0.5797 0.6808  1 Rh 3.10, 1 Au 3.43
Ba 0.8281 0.7927 0.2073  1 Rh 2.96
Ba 0.5736 0.1808 0.0797  1 Rh 3.10, 1 Au 3.43
Ba 0.0590 0.1283 0.5797  1 Rh 3.10
Ba 0.6659 0.6808 0.5797  1 Rh 3.10, 1 Au 3.43
Ba 0.4410 0.9203 0.3717  1 Rh 3.10
Ba 0.1659 0.0797 0.1808  1 Rh 3.10, 1 Au 3.43
Ba 0.0000 0.0000 0.0000  2 Rh 3.20
Ba 0.9264 0.4203 0.3192  1 Rh 3.10, 1 Au 3.43
Ba 0.8341 0.9203 0.8192  1 Rh 3.10, 1 Au 3.43
Ba 0.9410 0.8717 0.4203  1 Rh 3.10
Ba 0.4264 0.8192 0.9203  1 Rh 3.10, 1 Au 3.43
Ba 0.1719 0.2073 0.7927  1 Rh 2.96
Ba 0.3341 0.3192 0.4203  1 Rh 3.10, 1 Au 3.43
Ba 0.7670 0.4203 0.8717  1 Rh 3.10
Ba 0.5000 0.5000 0.5000  2 Rh 3.20
Ba 0.2670 0.3717 0.9203  1 Rh 3.10
Ba 0.7330 0.6283 0.0797  1 Rh 3.10
Ba 0.6719 0.2927 0.7073  1 Rh 2.96
Ba 0.2330 0.5797 0.1283  1 Rh 3.10
Ba 0.3281 0.7073 0.2927  1 Rh 2.96
Ba 0.5590 0.0797 0.6283  1 Rh 3.10
Au 0.7500 0.7500 0.7500  4 Ba 3.43
Au 0.2500 0.2500 0.2500  4 Ba 3.43
Rh 0.6674 0.6549 0.3451  6 Ba 2.96-3.20
Rh 0.8326 0.1549 0.8451  6 Ba 2.96-3.20
Rh 0.3326 0.3451 0.6549  6 Ba 2.96-3.20
Rh 0.1674 0.8451 0.1549  6 Ba 2.96-3.20

**Energy of formation**: -0.07 eV/atom

=====

(10)
Entry from Alexandria via LeMat-Bulk: a relaxed structure of Ba4RhAu2 (PBE).

a b c (Å): 5.7765 5.7765 9.4453
angles (deg): 107.81 107.81 90.00
Closest atoms and distances in Å follow each position.
Sites, in units of the cell vectors:
Ba 0.8157 0.8157 0.6315  1 Rh 3.14, 1 Au 3.29
Ba 0.0000 0.5000 0.0000  2 Rh 2.89
Ba 0.1843 0.1843 0.3685  1 Rh 3.14, 1 Au 3.29
Ba 0.5000 0.0000 0.0000  2 Rh 2.89
Rh 0.0000 0.0000 0.0000  6 Ba 2.89-3.14
Au 0.6226 0.6226 0.2451  5 Ba 3.29-3.56
Au 0.3774 0.3774 0.7549  5 Ba 3.29-3.56

**Energy of formation**: -0.37 eV/atom
**Excess energy over the best structure of this formula in the dataset**: 70 meV per atom

=====

(11)
Entry from Alexandria via LeMat-Bulk: a relaxed structure of Ba12Rh5Au (PBE).

a b c (Å): 7.9424 7.9651 14.8635
angles (deg): 94.62 99.30 60.09
Closest atoms and distances in Å follow each position.
Sites, in units of the cell vectors:
Ba 0.6828 0.3526 0.1163  2 Rh 3.09, 1 Au 3.28
Ba 0.5341 0.3323 0.6102  3 Rh 3.10-3.12
Ba 0.4659 0.6677 0.3898  3 Rh 3.10-3.12
Ba 0.0354 0.6474 0.1163  2 Rh 3.09, 1 Au 3.28
Ba 0.9646 0.3526 0.8837  2 Rh 3.09, 1 Au 3.28
Ba 0.3172 0.6474 0.8837  2 Rh 3.09, 1 Au 3.28
Ba 0.8664 0.6677 0.6102  3 Rh 3.10-3.12
Ba 0.8012 0.0000 0.3891  3 Rh 3.10-3.12
Ba 0.3879 0.0000 0.1164  2 Rh 3.09, 1 Au 3.28
Ba 0.1336 0.3323 0.3898  3 Rh 3.10-3.12
Ba 0.1988 0.0000 0.6109  3 Rh 3.10-3.12
Ba 0.6121 0.0000 0.8836  2 Rh 3.09, 1 Au 3.28
Rh 0.8339 0.3322 0.5000  6 Ba 3.10-3.12
Rh 0.3335 0.3330 0.0000  6 Ba 3.09
Rh 0.5000 0.0000 0.5000  6 Ba 3.10-3.12
Rh 0.6666 0.6670 0.0000  6 Ba 3.09
Rh 0.1661 0.6678 0.5000  6 Ba 3.10-3.12
Au 0.0000 0.0000 0.0000  6 Ba 3.28

**Energy of formation**: -0.22 eV/atom

=====

(12)
Entry from Alexandria via LeMat-Bulk: a relaxed structure of BaRh2Au (PBE).

a b c (Å): 6.0895 6.0895 6.0895
angles (deg): 44.60 44.60 44.60
Closest atoms and distances in Å follow each position.
Sites, in units of the cell vectors:
Rh 0.1806 0.1806 0.1806  3 Au 2.68, 3 Rh 2.71, 1 Ba 2.97
Rh 0.8194 0.8194 0.8194  3 Au 2.68, 3 Rh 2.71, 1 Ba 2.97
Ba 0.0000 0.0000 0.0000  2 Rh 2.97
Au 0.5000 0.5000 0.5000  6 Rh 2.68

**Energy of formation**: -0.17 eV/atom

=====

(13)
Entry from Alexandria via LeMat-Bulk: a relaxed structure of Ba6Rh2Au (PBE).

a b c (Å): 7.5683 7.8333 7.8333
angles (deg): 120.00 90.00 90.00
Closest atoms and distances in Å follow each position.
Sites, in units of the cell vectors:
Au 0.0000 0.0000 0.0000  6 Ba 3.39
Rh 0.5000 0.6667 0.3333  6 Ba 3.10
Rh 0.5000 0.3333 0.6667  6 Ba 3.10
Ba 0.2697 0.0000 0.6544  2 Rh 3.10, 1 Au 3.39
Ba 0.2697 0.3456 0.3456  2 Rh 3.10, 1 Au 3.39
Ba 0.7303 0.3456 0.0000  2 Rh 3.10, 1 Au 3.39
Ba 0.7303 0.0000 0.3456  2 Rh 3.10, 1 Au 3.39
Ba 0.2697 0.6544 0.0000  2 Rh 3.10, 1 Au 3.39
Ba 0.7303 0.6544 0.6544  2 Rh 3.10, 1 Au 3.39

**Energy of formation**: -0.30 eV/atom
**Excess energy over the best structure of this formula in the dataset**: 0 meV per atom